Entry 1:
Entry from the Alexandria database: an optimized crystal structure of Tb2C (PBE).

abc: 6.2474 3.6078 6.5576
angles: 90.00 108.41 90.00
Last column: nearest neighbours and their distance in Å.
Space group C2/m (No. 12)
Inequivalent atoms, fractional coordinates:
Tb1 0.2389 0.0000 0.2182 [4 per cell]  3 C 2.49
C1 0.0000 0.5000 0.0000 [2 per cell]  6 Tb 2.49

- Electronic total energy: -38.516 eV per cell
- Formation energy from the elements: -0.2579 eV per atom
- Total moment: 0.119 μB/atom

***

Entry 2:
Entry from the Alexandria database: an optimized crystal structure of TbSmTc (PBE).

abc: 4.4665 18.5122 3.9949
angles: 90.00 90.00 90.00
Last column: nearest neighbours and their distance in Å.
Space group Cmcm (No. 63)
Inequivalent atoms, fractional coordinates:
Tb1 0.0000 0.0818 0.2500 [4 per cell]  6 Tc 3.12
Sm1 0.0000 0.3043 0.2500 [4 per cell]  1 Tc 2.97
Tc1 0.0000 0.4645 0.2500 [4 per cell]  2 Tc 2.39

- Electronic total energy: -78.559 eV per cell
- ΔE to the lowest computed polymorph: 0.0064 eV per atom
- Formation energy from the elements: 0.0252 eV per atom
- Total moment: 0.000 μB/atom

***

Entry 3:
Entry from the Alexandria database: an optimized crystal structure of Mg4In5Ir2 (PBE).

abc: 7.6361 3.1593 9.7454
angles: 90.00 92.20 90.00
Last column: nearest neighbours and their distance in Å.
Space group P2/m (No. 10)
Inequivalent atoms, fractional coordinates:
Mg1 0.1898 0.0000 0.4402 [2 per cell]  4 Ir 2.71-2.73
Mg2 0.1939 0.0000 0.8570 [2 per cell]  2 Ir 2.69
In1 0.1580 0.5000 0.1521 [2 per cell]  1 Ir 2.74, 1 In 3.05
In2 0.4496 0.5000 0.6622 [2 per cell]  1 Ir 2.79
In3 0.5000 0.5000 0.0000 [1 per cell]  6 In 3.05-3.30, 4 Mg 3.11
Ir1 0.0843 0.5000 0.6478 [2 per cell]  6 Mg 2.69-2.73, 2 In 2.74-2.79

- Electronic total energy: -39.696 eV per cell
- Formation energy from the elements: -0.1730 eV per atom
- Total moment: 0.000 μB/atom

***

Entry 4:
Entry from the Alexandria database: an optimized crystal structure of La3Sm (PBE).

abc: 3.7369 6.0178 6.4648
angles: 90.00 90.00 90.00
Last column: nearest neighbours and their distance in Å.
Space group Pmm2 (No. 25)
Inequivalent atoms, fractional coordinates:
La1 0.0000 0.0000 0.0000 [1 per cell]  8 La 3.70-3.74, 4 Sm 3.72-3.75
La2 0.0000 0.5000 0.3327 [1 per cell]  8 La 3.70-3.74, 4 Sm 3.71
La3 0.5000 0.5000 0.8328 [1 per cell]  2 Sm 3.69, 10 La 3.70-3.74
Sm1 0.5000 0.0000 0.5033 [1 per cell]  10 La 3.69-3.75, 2 Sm 3.74

- Electronic total energy: -19.375 eV per cell
- Formation energy from the elements: 0.0315 eV per atom
- Total moment: 0.000 μB/atom

***

Entry 5:
Entry from the Alexandria database: an optimized crystal structure of CuAgOs4 (PBE).

abc: 7.3002 7.3002 7.3002
angles: 90.00 90.00 90.00
Last column: nearest neighbours and their distance in Å.
Space group F-43m (No. 216)
Inequivalent atoms, fractional coordinates:
Cu1 0.0000 0.0000 0.0000 [4 per cell]  12 Os 3.03, 4 Ag 3.16
Ag1 0.2500 0.2500 0.2500 [4 per cell]  12 Os 3.03, 4 Cu 3.16
Os1 0.1252 0.1252 0.6252 [16 per cell]  6 Os 2.58

- Electronic total energy: -184.794 eV per cell
- Formation energy from the elements: 0.9447 eV per atom
- Total moment: 0.000 μB/atom

***

Entry 6:
Entry from the Alexandria database: an optimized crystal structure of Cs2RbCdAu (PBE).

abc: 7.1390 7.1390 5.5948
angles: 90.00 90.00 90.00
Last column: nearest neighbours and their distance in Å.
Space group P4/mmm (No. 123)
Inequivalent atoms, fractional coordinates:
Cs1 0.0000 0.5000 0.0000 [2 per cell]  2 Au 3.57
Rb1 0.0000 0.0000 0.5000 [1 per cell]  8 Cs 4.54, 4 Cd 5.05
Cd1 0.5000 0.5000 0.5000 [1 per cell]  2 Au 2.80
Au1 0.5000 0.5000 0.0000 [1 per cell]  2 Cd 2.80

- Electronic total energy: -7.371 eV per cell
- ΔE to the lowest computed polymorph: 0.0000 eV per atom
- Formation energy from the elements: -0.1008 eV per atom
- Total moment: 0.000 μB/atom

***

Entry 7:
Entry from the Alexandria database: an optimized crystal structure of HfBeGe (PBE).

abc: 9.7786 3.7428 6.3535
angles: 90.00 130.44 90.00
Last column: nearest neighbours and their distance in Å.
Space group C2/m (No. 12)
Inequivalent atoms, fractional coordinates:
Hf1 0.0643 0.0000 0.3175 [4 per cell]  5 Be 2.72-2.87, 5 Ge 2.75-2.87
Be1 0.1411 0.5000 0.0969 [4 per cell]  1 Be 2.17, 2 Ge 2.29
Ge1 0.1824 0.5000 0.7438 [4 per cell]  3 Be 2.29-2.52

- Electronic total energy: -78.692 eV per cell
- Formation energy from the elements: -0.4587 eV per atom
- Total moment: 0.000 μB/atom

***

Entry 8:
Entry from the Alexandria database: an optimized crystal structure of KInCu2Cl6 (PBE).

abc: 6.8056 6.8056 20.9066
angles: 90.00 90.00 120.00
Last column: nearest neighbours and their distance in Å.
Space group R-3 (No. 148, hexagonal axes)
Inequivalent atoms, fractional coordinates:
K1 0.0000 0.0000 0.0000 [3 per cell]  6 Cl 3.18
In1 0.0000 0.0000 0.5000 [3 per cell]  6 Cl 2.59
Cu1 0.0000 0.0000 0.2319 [6 per cell]  3 Cl 2.23
Cl1 0.0118 0.3718 0.0947 [18 per cell]  1 Cu 2.23

- Electronic total energy: -99.503 eV per cell
- Total moment: 0.013 μB/atom

***

Entry 9:
Entry from the Alexandria database: an optimized crystal structure of La2NdDyBi5 (PBE).

abc: 5.4477 5.4477 12.1177
angles: 90.00 90.00 90.00
Last column: nearest neighbours and their distance in Å.
Space group P4/mmm (No. 123)
Inequivalent atoms, fractional coordinates:
La1 0.0000 0.0000 0.2222 [2 per cell]  1 Bi 3.37
Nd1 0.5000 0.5000 0.5000 [1 per cell]  2 Bi 3.03
Dy1 0.5000 0.5000 0.0000 [1 per cell]  6 Bi 2.72-3.03
Bi1 0.0000 0.0000 0.5000 [1 per cell]  2 La 3.37
Bi2 0.0000 0.5000 0.0000 [2 per cell]  2 Dy 2.72
Bi3 0.5000 0.5000 0.2503 [2 per cell]  1 Nd 3.03, 1 Dy 3.03

- Electronic total energy: -41.165 eV per cell
- Formation energy from the elements: -0.2817 eV per atom
- Total moment: 0.000 μB/atom

***

Entry 10:
Entry from the Alexandria database: an optimized crystal structure of Li2Ce3As4S2 (PBE).

abc: 4.2887 4.2887 25.6463
angles: 90.00 90.00 90.00
Last column: nearest neighbours and their distance in Å.
Space group I4/mmm (No. 139)
Inequivalent atoms, fractional coordinates:
Li1 0.0000 0.0000 0.1272 [4 per cell]  1 S 2.17
Ce1 0.0000 0.0000 0.3230 [4 per cell]  5 S 2.86-3.16
Ce2 0.0000 0.0000 0.5000 [2 per cell]  8 As 3.01
As1 0.0000 0.5000 0.0824 [8 per cell]  2 Li 2.43
S1 0.0000 0.0000 0.2117 [4 per cell]  1 Li 2.17

- Electronic total energy: -121.240 eV per cell
- Total moment: 0.251 μB/atom

***

Entry 11:
Entry from the Alexandria database: an optimized crystal structure of Hf2ZrHPt (PBE).

abc: 4.5035 4.5035 4.0241
angles: 90.00 90.00 90.00
Last column: nearest neighbours and their distance in Å.
Space group P4/mmm (No. 123)
Inequivalent atoms, fractional coordinates:
Hf1 0.0000 0.5000 0.0000 [2 per cell]  2 H 2.25
Zr1 0.0000 0.0000 0.5000 [1 per cell]  2 H 2.01
H1 0.0000 0.0000 0.0000 [1 per cell]  2 Zr 2.01, 4 Hf 2.25
Pt1 0.5000 0.5000 0.5000 [1 per cell]  8 Hf 3.02, 4 Zr 3.18

- Electronic total energy: -40.146 eV per cell
- Total moment: 0.000 μB/atom

***

Entry 12:
Entry from the Alexandria database: an optimized crystal structure of TaPCO2 (PBE).

abc: 3.6987 3.6987 3.7786
angles: 90.00 90.00 90.00
Last column: nearest neighbours and their distance in Å.
Space group P4/mmm (No. 123)
Inequivalent atoms, fractional coordinates:
Ta1 0.0000 0.0000 0.0000 [1 per cell]  4 P 2.62, 8 O 2.64
P1 0.5000 0.5000 0.0000 [1 per cell]  2 C 1.89
C1 0.5000 0.5000 0.5000 [1 per cell]  4 O 1.85, 2 P 1.89
O1 0.0000 0.5000 0.5000 [2 per cell]  2 C 1.85

- Electronic total energy: -33.679 eV per cell
- ΔE to the lowest computed polymorph: 0.6712 eV per atom
- Total moment: 0.000 μB/atom

***

Entry 13:
Entry from the Alexandria database: an optimized crystal structure of NaPr2PtO6 (PBE).

abc: 5.5966 6.0372 9.7201
angles: 90.00 124.29 90.00
Last column: nearest neighbours and their distance in Å.
Space group P2_1/c (No. 14)
Inequivalent atoms, fractional coordinates:
Na1 0.0000 0.0000 0.0000 [2 per cell]  6 O 2.27-2.34
Pr1 0.2252 0.0748 0.7474 [4 per cell]  5 O 2.37-2.62
Pt1 0.5000 0.0000 0.5000 [2 per cell]  6 O 2.00-2.02
O1 0.1501 0.1760 0.4463 [4 per cell]  1 Pt 2.02
O2 0.2696 0.7158 0.4343 [4 per cell]  1 Pt 2.02
O3 0.3852 0.0468 0.2661 [4 per cell]  1 Pt 2.00

- Electronic total energy: -135.500 eV per cell
- Total moment: 0.072 μB/atom